16
Lattice="-0.962 2.835 -1.879 -2.884 -1.715 -1.111 -7.167 4.893 11.053" Properties=species:S:1:pos:R:3 comment="BeV3Ni12, optimized geometry, DFT PBE" delta_e_f_mev_per_atom=-212.7 rho_g_cm3=8.19 m_tot_mub_per_fu=1.22 e_tot_ev_per_atom=-6.491 spacegroup=P4/mmm pbc="T T T"
V -1.719 1.174 2.651
Ni -5.939 2.213 6.378
Ni -1.342 2.006 0.389
Ni -5.507 3.007 4.031
Ni -3.152 3.241 3.179
Ni -3.693 1.769 1.235
Be 0.000 0.000 0.000
Ni -2.304 -0.269 0.773
Ni -7.748 3.448 9.169
V -3.584 2.447 5.526
Ni -4.977 4.488 5.995
Ni -1.923 0.560 -1.495
Ni -7.320 4.245 6.828
Ni -4.113 0.966 3.563
Ni -6.787 5.723 8.785
V -5.448 3.720 8.401